First-principles (PBE) data for a relaxed structure of Ca6As2N, as listed in Alexandria.

Geometry as POSCAR:
```
Ca6As2N
1.0
-6.425 0.798 -1.550
-1.996 -2.950 6.751
0.288 8.628 3.855
N Ca As
2 12 4
Direct
0.000 0.000 0.500
0.500 0.500 0.000
0.339 0.789 0.052
0.197 0.336 0.054
0.393 0.532 0.756
0.607 0.468 0.244
0.161 0.289 0.448
0.303 0.836 0.446
0.839 0.711 0.552
0.893 0.968 0.256
0.803 0.664 0.946
0.661 0.211 0.948
0.107 0.032 0.744
0.697 0.164 0.554
0.543 0.899 0.754
0.043 0.601 0.254
0.457 0.101 0.246
0.957 0.399 0.746
```

Values from the calculation:
The formation energy from raw total energies is -0.8757 eV per atom. The space group is P2_1/c (14).



First-principles (PBE) data for a relaxed structure of Ba3Ho3AgTe8, as listed in Alexandria.

Geometry as POSCAR:
```
Ba3Ho3AgTe8
1.0
-4.835 6.490 4.156
-2.641 -8.686 0.535
7.697 2.709 4.723
Te Ba Ho Ag
8 3 3 1
Direct
0.757 0.514 0.286
0.243 0.971 0.714
0.728 0.971 0.714
0.757 0.029 0.286
0.243 0.486 0.714
0.272 0.029 0.286
0.261 0.523 0.284
0.739 0.477 0.716
0.000 0.500 0.000
0.000 0.000 0.000
0.500 0.500 0.000
0.500 0.000 0.500
0.500 0.500 0.500
0.000 0.500 0.500
0.000 0.000 0.500
```

Values from the calculation:
The formation energy from raw total energies is -1.3134 eV per atom. The space group is R-3m (166).



First-principles (PBE) data for a relaxed structure of SrZr2TcPb, as listed in Alexandria.

Geometry as POSCAR:
```
SrZr2TcPb
1.0
-2.118 4.946 -1.038
-4.714 -1.832 0.887
0.484 1.319 5.297
Zr Sr Tc Pb
2 1 1 1
Direct
0.000 0.000 0.500
0.500 0.000 0.000
0.500 0.500 0.500
0.000 0.500 0.000
0.000 0.000 0.000
```

Values from the calculation:
For the formation energy, the calculation gives 5.9 eV per formula unit. The space group is P4/mmm (123).



First-principles (PBE) data for a relaxed structure of V2InRu, as listed in Alexandria.

Geometry as POSCAR:
```
V2InRu
1.0
7.190 0.000 0.000
0.000 7.190 0.000
3.595 3.595 2.675
V In Ru
4 2 2
Direct
0.375 0.431 0.750
0.569 0.125 0.250
0.875 0.819 0.750
0.181 0.625 0.250
0.750 0.250 0.500
0.000 0.000 0.000
0.500 0.500 0.000
0.250 0.750 0.500
```

Values from the calculation:
For the formation energy, the calculation gives 1.7 eV per formula unit. The space group is I-42d (122).



First-principles (PBE) data for a relaxed structure of CsHg3Au3, as listed in Alexandria.

Geometry as POSCAR:
```
CsHg3Au3
1.0
-5.417 4.613 2.888
-1.997 -0.582 7.392
3.941 7.486 5.642
Hg Au Cs
6 6 2
Direct
0.799 0.664 0.344
0.664 0.192 0.344
0.808 0.201 0.656
0.201 0.336 0.656
0.336 0.808 0.656
0.192 0.799 0.344
0.993 0.765 0.674
0.569 0.993 0.674
0.431 0.007 0.326
0.765 0.569 0.674
0.235 0.431 0.326
0.007 0.235 0.326
0.346 0.346 0.963
0.654 0.654 0.037
```

Values from the calculation:
For the formation energy, the calculation gives -0.7 eV per formula unit. The space group is R-3 (148).



First-principles (PBE) data for a relaxed structure of ScTe2AsN, as listed in Alexandria.

Geometry as POSCAR:
```
ScTe2AsN
1.0
-0.303 -0.562 -5.535
3.854 -4.020 0.197
-2.680 -2.549 0.405
Sc N As Te
1 1 1 2
Direct
0.500 0.500 0.500
0.000 0.000 0.500
0.000 0.000 0.000
0.500 0.000 0.000
0.000 0.500 0.000
```

Values from the calculation:
The formation energy from raw total energies is 0.3662 eV per atom. The space group is P4/mmm (123).



First-principles (PBE) data for a relaxed structure of PmThPa4, as listed in Alexandria.

Geometry as POSCAR:
```
PmThPa4
1.0
6.150 0.000 0.000
3.075 5.326 0.000
3.075 1.775 5.021
Pa Th Pm
4 1 1
Direct
0.625 0.126 0.625
0.625 0.625 0.126
0.126 0.625 0.625
0.625 0.625 0.625
0.250 0.250 0.250
0.000 0.000 0.000
```

Values from the calculation:
For the formation energy, the calculation gives 1.0 eV per formula unit. The space group is F-43m (216).



First-principles (PBE) data for a relaxed structure of K8Rb3Li, as listed in Alexandria.

Geometry as POSCAR:
```
K8Rb3Li
1.0
9.382 0.000 0.000
0.000 12.702 -7.334
0.000 0.000 14.667
K Rb Li
16 6 2
Direct
0.491 0.513 0.487
0.020 0.000 0.000
0.991 0.487 0.513
0.770 0.796 0.592
0.491 0.975 0.487
0.520 0.000 0.000
0.770 0.796 0.204
0.270 0.204 0.408
0.270 0.204 0.796
0.991 0.487 0.975
0.623 0.333 0.667
0.491 0.513 0.025
0.770 0.408 0.204
0.270 0.592 0.796
0.123 0.667 0.333
0.991 0.025 0.513
0.270 0.322 0.161
0.770 0.161 0.322
0.770 0.678 0.839
0.270 0.839 0.161
0.270 0.839 0.678
0.770 0.161 0.839
0.537 0.667 0.333
0.037 0.333 0.667
```

Values from the calculation:
For the formation energy, the calculation gives 0.5 eV per formula unit. The space group is P6_3mc (186).



Number 1: E_tot -75.0 eV/cell. Number 2: E_tot -67.2 eV/cell. Number 3: E_tot -26.9 eV/cell. Number 4: E_tot -57.2 eV/cell. Number 5: E_tot -24.5 eV/cell. Number 6: E_tot -23.8 eV/cell. Number 7: E_tot -49.1 eV/cell. Number 8: E_tot -26.2 eV/cell.